1.
The following is a DFT calculation (PBE) of crystalline Si2Te at its relaxed geometry.

The structure belongs to space group Fd-3m (No. 227, origin choice 2); the cell edges are 7.754, 7.754 and 7.754 Å and the angles 90.00°, 90.00° and 90.00°. The asymmetric unit holds Si at (0.000, 0.000, 0.000) and Te at (0.125, 0.125, 0.625).

The polymorph energy (0 for the lowest one) comes out at 621 meV/atom. The final energy is -4.018 eV/atom. Its total moment is 0.00 μB per cell. The crystal system is cubic.

2.
The following is a DFT calculation (PBE) of crystalline KSnAu2S4 at its relaxed geometry.

The structure belongs to space group I222 (No. 23); the cell edges are 6.730, 7.214 and 8.556 Å and the angles 90.00°, 90.00° and 90.00°. The asymmetric unit holds K at (0.000, 0.000, 0.000), Sn at (0.000, 0.000, 0.500), Au at (0.000, 0.500, 0.167) and S at (0.213, 0.192, 0.335).

The final energy is -3.919 eV/atom. Its total moment is 0.00 μB per cell. The crystal system is orthorhombic.

3.
The following is a DFT calculation (PBE) of crystalline MnTl2I6 at its relaxed geometry.

The structure belongs to space group P2_1/c (No. 14); the cell edges are 7.723, 8.198 and 13.469 Å and the angles 90.00°, 124.26° and 90.00°. The asymmetric unit holds Mn at (0.000, 0.000, 0.000), Tl at (0.276, 0.079, 0.751), I at (0.170, 0.004, 0.239), I at (0.221, 0.726, 0.030) and I at (0.318, 0.187, 0.034).

The polymorph energy (0 for the lowest one) comes out at 0 meV/atom. The final energy is -3.003 eV/atom. Its total moment is 5.98 μB per cell. The crystal system is monoclinic.

4.
The following is a DFT calculation (PBE) of crystalline Ac5Nd2Sm5 at its relaxed geometry.

The structure belongs to space group C2/m (No. 12); the cell edges are 16.058, 5.354 and 12.012 Å and the angles 90.00°, 116.47° and 90.00°. The asymmetric unit holds Ac at (0.000, 0.000, 0.000), Ac at (0.161, 0.000, 0.496), Ac at (0.248, 0.500, 0.754), Nd at (0.083, 0.000, 0.756), Sm at (0.000, 0.500, 0.500), Sm at (0.079, 0.500, 0.248) and Sm at (0.168, 0.500, 0.001).

The value obtained for the calculated formation energy is 0.041 eV per atom. The final energy is -4.431 eV/atom. Its total moment is 0.00 μB per cell. The crystal system is monoclinic.

5.
The following is a DFT calculation (PBE) of crystalline Ca2LaCeN4 at its relaxed geometry.

The structure belongs to space group P2/m (No. 10); the cell edges are 6.073, 3.692 and 6.191 Å and the angles 90.00°, 107.29° and 90.00°. The asymmetric unit holds Ca at (0.000, 0.000, 0.000), Ca at (0.000, 0.500, 0.500), La at (0.500, 0.000, 0.500), Ce at (0.500, 0.500, 0.000), N at (0.266, 0.000, 0.756) and N at (0.273, 0.500, 0.231).

The final energy is -7.100 eV/atom. Its total moment is 1.06 μB per cell. The crystal system is monoclinic.

6.
The following is a DFT calculation (PBE) of crystalline Ac8TlBi4Te3 at its relaxed geometry.

The structure belongs to space group R-3m (No. 166, hexagonal axes); the cell edges are 9.6621, 9.6621 and 23.5975 Å and the angles 90.00°, 90.00° and 120.00°. The asymmetric unit holds Ac at (0.0000, 0.0000, 0.2481), Ac at (0.0051, 0.5025, 0.7495), Tl at (0.0000, 0.0000, 0.0000), Bi at (0.0000, 0.0000, 0.5000), Bi at (0.0000, 0.5000, 0.5000) and Te at (0.0000, 0.5000, 0.0000).

The final energy is -4.882 eV/atom. Its total moment is 0.00 μB per cell. The crystal system is trigonal.